Here is a relaxed BaBe4Mo3O12 crystal from Alexandria via LeMat-Bulk. Energies are from PBE with a Hubbard U.

Cell: 6.4844 6.4844 6.4844 Å, 104.95 104.95 104.95°
Sites, in units of the cell vectors:
O 0.5000 0.3471 0.6529
O 0.5000 0.0905 0.9095
O 0.6529 0.5000 0.3471
Be 0.9376 0.0624 0.5000
O 0.7571 0.0295 0.6136
O 0.3471 0.6529 0.5000
Mo 0.0000 0.5571 0.4429
Mo 0.4429 0.0000 0.5571
Be 0.5000 0.5000 0.5000
O 0.9095 0.5000 0.0905
O 0.0295 0.6136 0.7571
O 0.0905 0.9095 0.5000
O 0.2429 0.3864 0.9705
Be 0.0624 0.5000 0.9376
Be 0.5000 0.9376 0.0624
O 0.3864 0.9705 0.2429
O 0.6136 0.7571 0.0295
Mo 0.5571 0.4429 0.0000
O 0.9705 0.2429 0.3864
Ba 0.0000 0.0000 0.0000

Summary:
Energy: -6.993 eV per atom
V: 238.6 Å³ per cell
Symmetry: R32
DOS at the Fermi energy: 4.84 states/eV/cell
Size of the total moment: 4.0 μB per formula unit